(1)
Material: LaB14W
Method: DFT, GGA-PBE
State: relaxed

```
32
Lattice="-2.9393 5.5362 4.1533 2.9393 -5.5362 4.1533 2.9393 5.5362 -4.1533" Properties=species:S:1:pos:R:3 pbc="T T T"
La 0.0000 2.7681 1.0478
La 2.9393 2.7681 3.1054
B 2.9393 4.2345 -3.0579
B 1.4892 0.8452 -0.4173
B 4.3894 0.8452 -0.4173
B 2.9393 -0.8891 1.4046
B 2.9393 1.8502 0.2546
B 1.9921 0.6856 1.3299
B 3.8865 0.6856 1.3299
B 2.9393 4.6471 -1.4046
B 2.9393 -1.3017 3.0579
B 2.9393 3.6860 0.2546
B 1.4892 4.6910 -0.4173
B 1.4501 -0.8452 3.7360
B 1.9921 6.2218 -1.3299
B 0.9472 0.6856 2.8234
B 1.9921 4.8506 1.3299
B 0.9472 -0.6856 5.4831
B 1.4892 6.3814 0.4173
B 1.4501 0.8452 4.5705
B 0.0000 1.8502 3.8987
B 0.0000 6.8378 1.0953
B 0.0000 0.8891 5.5578
B -0.9472 4.8506 2.8234
B 0.9472 4.8506 2.8234
B 0.0000 3.6860 3.8987
B 0.0000 6.4253 2.7487
B -1.4501 4.6910 4.5705
B 1.4501 4.6910 4.5705
B 0.0000 1.3017 7.2112
W 1.4697 2.7681 -2.0766
W 1.4697 -2.7681 2.0766
```

## Properties
Calculated volume = 8.45 Å³ per atom
Calculated total energy = -7.053 eV per atom
Space-group type = No. 74
Size of the total moment = 0.000 μB/atom
Energy of formation = -0.093 eV per atom

=====

(2)
Material: LaYB3
Method: DFT, GGA-PBE
State: relaxed

```
5
Lattice="4.6140 0.0000 0.0000 0.0000 4.6140 0.0000 0.0000 0.0000 4.6140" Properties=species:S:1:pos:R:3 pbc="T T T"
La 0.0000 0.0000 0.0000
Y 2.3070 2.3070 2.3070
B 0.0000 2.3070 2.3070
B 2.3070 0.0000 2.3070
B 2.3070 2.3070 0.0000
```

## Properties
Calculated volume = 19.65 Å³ per atom
Calculated total energy = -5.135 eV per atom
Space-group type = No. 221
Size of the total moment = 0.000 μB/atom
Energy of formation = 1.150 eV per atom
Excess energy over the best structure of this formula in the dataset = 0 meV per atom

=====

(3)
Material: LaY2B6
Method: DFT, GGA-PBE
State: relaxed

```
9
Lattice="5.7396 0.0000 0.0000 -2.8698 4.9707 0.0000 0.0000 0.0000 4.0218" Properties=species:S:1:pos:R:3 pbc="T T T"
La 0.0000 0.0000 0.0000
Y 0.0000 3.3138 0.0000
Y 2.8698 1.6569 0.0000
B -0.9804 1.6980 2.0109
B -1.8895 3.2726 2.0109
B 1.9607 0.0000 2.0109
B 0.9804 1.6980 2.0109
B 3.7789 0.0000 2.0109
B 1.8895 3.2726 2.0109
```

## Properties
Calculated volume = 12.75 Å³ per atom
Calculated total energy = -6.845 eV per atom
Space-group type = No. 191
Size of the total moment = 0.000 μB/atom
Energy of formation = -0.409 eV per atom